Entry from the Alexandria database: a relaxed structure of Y4Tl2Cr (PBE-GGA).

V = 204.9 Å³/f.u.
ΔH_f (0 K) = 188 meV/atom

a = 4.990 Å, b = 4.990 Å, c = 16.460 Å
α = 90.00°, β = 90.00°, γ = 90.00°
Space group I4/mmm (No. 139)
Unique sites:
Y (0.000, 0.000, 0.172)
Y (0.000, 0.500, 0.000)
Tl (0.000, 0.000, 0.362)
Cr (0.000, 0.000, 0.000)